VASP calculation (PBE-GGA) on a relaxed structure of RbTc2GeOs.

For the total moment, the calculation gives 0.632 μB/atom. Its raw total energy is -6.16 eV/atom. As for the density of states at the Fermi level: 7.57 states/eV per cell.

It has space group P4/mmm (No. 123), with a = 4.9406 Å, b = 4.9406 Å, c = 4.8646 Å, α = 90.00°, β = 90.00° and γ = 90.00°. The distinct sites, in fractional coordinates, are Rb at (0.0000, 0.0000, 0.0000), Tc at (0.0000, 0.5000, 0.5000), Ge at (0.5000, 0.5000, 0.0000) and Os at (0.5000, 0.5000, 0.5000).